Here is a relaxed LiCoP4O12 crystal from Alexandria via LeMat-Bulk. Energies are from PBE+U.

Output
As for the energy above the most stable polymorph in this dataset: 0 meV per atom. Its total energy is -6.884 eV per atom. Its size of the total moment is 15.83 μB/cell.

abc: 9.396 14.143 7.665
angles: 90.00 104.45 90.00
Space group Cc (No. 9)
Symmetry-distinct sites (fractional):
Li  0.000  0.146  0.000
Co  0.330  0.130  0.034
P  0.187  0.075  0.614
P  0.236  0.331  0.119
P  0.416  0.324  0.874
P  0.447  0.078  0.457
O  0.044  0.103  0.466
O  0.088  0.390  0.109
O  0.189  0.124  0.789
O  0.191  0.227  0.091
O  0.193  0.032  0.113
O  0.278  0.367  0.937
O  0.317  0.119  0.536
O  0.349  0.359  0.282
O  0.392  0.334  0.677
O  0.444  0.028  0.953
O  0.448  0.129  0.285
O  0.453  0.228  0.964